# 1
A plane-wave DFT calculation with PBE-GGA was carried out for crystalline Sr4Ga3Pt2 at its relaxed geometry.

The total energy comes out at -3.719 eV per atom. For the magnetization, the calculation gives 0.0 μB per cell. The value obtained for the density is 6.3 g/cm3. Its formation energy is -619.7 meV/atom.

Unit cell a=16.792 b=4.149 c=7.547 alpha=90.00 beta=108.64 gamma=90.00
Space group C2/m (No. 12)
Inequivalent atoms, fractional coordinates:
Sr 0.076 0.000 0.378
Sr 0.231 0.500 0.189
Ga 0.000 0.500 0.000
Ga 0.100 0.500 0.748
Pt 0.091 0.000 0.950



# 2
A plane-wave DFT calculation with PBE-GGA was carried out for crystalline ScTl3 at its relaxed geometry.

The total energy comes out at -3.367 eV per atom. For the magnetization, the calculation gives 2.0 μB per cell. The value obtained for the density is 10.2 g/cm3. Its formation energy is -9.7 meV/atom.

Unit cell a=10.4603 b=10.4603 c=3.4069 alpha=90.00 beta=90.00 gamma=120.00
Space group R-3m (No. 166, hexagonal axes)
Inequivalent atoms, fractional coordinates:
Sc 0.0000 0.0000 0.0000
Tl 0.0000 0.5000 0.0000



# 3
A plane-wave DFT calculation with PBE-GGA was carried out for crystalline Sc2Br3O at its relaxed geometry.

The total energy comes out at -5.939 eV per atom. For the magnetization, the calculation gives 0.0 μB per cell. The value obtained for the density is 3.4 g/cm3.

Unit cell a=19.037 b=3.686 c=10.467 alpha=90.00 beta=112.23 gamma=90.00
Space group C2/m (No. 12)
Inequivalent atoms, fractional coordinates:
Sc 0.072 0.000 0.471
Sc 0.075 0.500 0.746
Br 0.072 0.500 0.267
Br 0.136 0.000 0.951
Br 0.182 0.500 0.630
O 0.044 0.000 0.644



# 4
A plane-wave DFT calculation with PBE-GGA was carried out for crystalline AgHgIr2 at its relaxed geometry.

The total energy comes out at -4.584 eV per atom. For the magnetization, the calculation gives 1.0 μB per cell. The value obtained for the density is 17.1 g/cm3. Its formation energy is 635.0 meV/atom.

Unit cell a=2.816 b=4.273 c=5.607 alpha=90.00 beta=90.00 gamma=90.00
Space group Pmmm (No. 47)
Inequivalent atoms, fractional coordinates:
Ag 0.000 0.000 0.000
Hg 0.000 0.000 0.500
Ir 0.500 0.500 0.239



# 5
A plane-wave DFT calculation with PBE-GGA was carried out for crystalline Ac8CeSn6 at its relaxed geometry.

The total energy comes out at -4.693 eV per atom. For the magnetization, the calculation gives 4.2 μB per cell. The value obtained for the density is 7.5 g/cm3. Its formation energy is -505.4 meV/atom.

Unit cell a=9.8510 b=9.8510 c=21.0727 alpha=90.00 beta=90.00 gamma=120.00
Space group R-3 (No. 148, hexagonal axes)
Inequivalent atoms, fractional coordinates:
Ac 0.0000 0.0000 0.1662
Ac 0.0001 0.3341 0.3957
Ce 0.0000 0.0000 0.5000
Sn 0.9999 0.3285 0.5659



# 6
A plane-wave DFT calculation with PBE-GGA was carried out for crystalline Nb4Si2N at its relaxed geometry.

The total energy comes out at -8.858 eV per atom. For the magnetization, the calculation gives 0.0 μB per cell. The value obtained for the density is 6.5 g/cm3.

Unit cell a=4.093 b=4.093 c=13.562 alpha=90.00 beta=90.00 gamma=90.00
Space group I4/mmm (No. 139)
Inequivalent atoms, fractional coordinates:
Nb 0.000 0.000 0.168
Nb 0.000 0.500 0.000
Si 0.000 0.000 0.358
N 0.000 0.000 0.000